Run P
CdSbTe after structural relaxation. Source: OQMD, functional PBE.

theoretical density = 6.77 g cm⁻³
volume = 29.56 A^3/atom

a b c (Å): 8.2924 4.2626 10.0370
angles (deg): 90.00 90.00 90.00
Fractional positions:
Sb 0.1267 0.2500 0.0190
Sb 0.3733 0.7500 0.5190
Sb 0.6267 0.2500 0.4810
Sb 0.8733 0.7500 0.9810
Te 0.4024 0.7500 0.8070
Te 0.0976 0.2500 0.3070
Te 0.9024 0.7500 0.6930
Te 0.5976 0.2500 0.1930
Cd 0.1505 0.2500 0.6597
Cd 0.3495 0.7500 0.1597
Cd 0.6505 0.2500 0.8403
Cd 0.8495 0.7500 0.3403



Run Q
CdSbTe after structural relaxation. Source: OQMD, functional PBE.

theoretical density = 6.17 g cm⁻³
volume = 32.43 A^3/atom

a b c (Å): 5.1624 5.1624 5.1624
angles (deg): 60.00 60.00 60.00
Fractional positions:
Te 0.7500 0.7500 0.7500
Sb 0.0000 0.0000 0.0000
Cd 0.2500 0.2500 0.2500



Run R
CdSbTe after structural relaxation. Source: OQMD, functional PBE.

theoretical density = 6.96 g cm⁻³
volume = 28.76 A^3/atom

a b c (Å): 8.0696 4.1811 10.2294
angles (deg): 90.00 90.00 90.00
Fractional positions:
Sb 0.1460 0.2500 0.8126
Sb 0.3540 0.7500 0.3126
Sb 0.8540 0.7500 0.1874
Sb 0.6460 0.2500 0.6874
Cd 0.3815 0.7500 0.6702
Cd 0.1185 0.2500 0.1702
Cd 0.8815 0.7500 0.8298
Cd 0.6185 0.2500 0.3298
Te 0.1535 0.2500 0.5285
Te 0.3465 0.7500 0.0285
Te 0.8465 0.7500 0.4715
Te 0.6535 0.2500 0.9715



Most stable: run P (next structure +0.124 eV/atom)



Run P
ScTlCdSe3 after structural relaxation. Source: OQMD, functional PBE.

total magnetization = 0.00 μB/f.u.
theoretical density = 6.14 g cm⁻³
volume = 27.00 A^3/atom

a b c (Å): 7.6516 7.6516 10.7880
angles (deg): 90.00 90.00 30.86
Fractional positions:
Cd 0.4535 0.4535 0.2500
Cd 0.5465 0.5465 0.7500
Se 0.6258 0.6258 0.9647
Se 0.6258 0.6258 0.5353
Se 0.9302 0.9302 0.7500
Se 0.3742 0.3742 0.4647
Se 0.3742 0.3742 0.0353
Se 0.0698 0.0698 0.2500
Sc 0.0000 0.0000 0.0000
Sc 0.0000 0.0000 0.5000
Tl 0.7460 0.7460 0.2500
Tl 0.2540 0.2540 0.7500



Run Q
ScTlCdSe3 after structural relaxation. Source: OQMD, functional PBE.

total magnetization = 0.00 μB/f.u.
theoretical density = 5.89 g cm⁻³
volume = 28.11 A^3/atom

a b c (Å): 8.5542 4.1085 10.1246
angles (deg): 90.00 108.58 90.00
Fractional positions:
Cd 0.9223 0.7500 0.3838
Cd 0.0777 0.2500 0.6162
Sc 0.3254 0.7500 0.8701
Sc 0.6746 0.2500 0.1299
Tl 0.7688 0.7500 0.7613
Tl 0.2312 0.2500 0.2387
Se 0.8899 0.7500 0.1180
Se 0.1101 0.2500 0.8820
Se 0.5345 0.2500 0.8560
Se 0.4655 0.7500 0.1440
Se 0.7523 0.2500 0.4383
Se 0.2477 0.7500 0.5617



Run R
ScTlCdSe3 after structural relaxation. Source: OQMD, functional PBE.

total magnetization = 0.00 μB/f.u.
theoretical density = 6.16 g cm⁻³
volume = 26.90 A^3/atom

a b c (Å): 12.4819 4.0718 12.7032
angles (deg): 90.00 90.00 90.00
Fractional positions:
Tl 0.6400 0.0000 0.4914
Tl 0.3600 0.5000 0.5086
Tl 0.8600 0.5000 0.9914
Tl 0.1400 0.0000 0.0086
Se 0.2484 0.5000 0.1627
Se 0.0356 0.5000 0.8104
Se 0.4165 0.5000 0.9326
Se 0.4644 0.0000 0.3104
Se 0.7516 0.0000 0.8373
Se 0.9165 0.5000 0.5674
Se 0.0835 0.0000 0.4326
Se 0.5835 0.0000 0.0674
Se 0.5356 0.5000 0.6896
Se 0.2516 0.0000 0.6627
Se 0.9644 0.0000 0.1896
Se 0.7484 0.5000 0.3373
Cd 0.2529 0.5000 0.8012
Cd 0.2471 0.0000 0.3012
Cd 0.7529 0.5000 0.6988
Cd 0.7471 0.0000 0.1988
Sc 0.0378 0.0000 0.6582
Sc 0.5378 0.0000 0.8418
Sc 0.9622 0.5000 0.3418
Sc 0.4622 0.5000 0.1582



Most stable: run Q (next structure +0.016 eV/atom)



Run P
YScTlCd after structural relaxation. Source: OQMD, functional PBE.

total magnetization = 0.45 μB/f.u.
theoretical density = 7.57 g cm⁻³
volume = 24.70 A^3/atom

a b c (Å): 5.1892 5.1892 5.1892
angles (deg): 60.00 60.00 60.00
Fractional positions:
Sc 0.2500 0.2500 0.2500
Tl 0.5000 0.5000 0.5000
Cd 0.0000 0.0000 0.0000
Y 0.7500 0.7500 0.7500



Run Q
YScTlCd after structural relaxation. Source: OQMD, functional PBE.

total magnetization = 1.85 μB/f.u.
theoretical density = 7.31 g cm⁻³
volume = 25.58 A^3/atom

a b c (Å): 5.2502 5.2502 5.2502
angles (deg): 60.00 60.00 60.00
Fractional positions:
Tl 0.2500 0.2500 0.2500
Y 0.7500 0.7500 0.7500
Sc 0.5000 0.5000 0.5000
Cd 0.0000 0.0000 0.0000



Most stable: run P (next structure +0.411 eV/atom)